No. 1
DFT (PBE-GGA) results for an optimized crystal structure of Tb6Nd16Dy7.

Summary:
- Energy relative to the elements: 208.0 meV/atom
- Total magnetic moment: 0.000 μB per cell

Unit cell a=11.3274 b=11.3274 c=11.3274 alpha=60.00 beta=60.00 gamma=60.00
Element x y z (fractional)
Tb (0.2334, 0.2334, 0.7666)
Tb (0.2334, 0.7666, 0.2334)
Tb (0.2334, 0.7666, 0.7666)
Tb (0.7666, 0.2334, 0.2334)
Tb (0.7666, 0.2334, 0.7666)
Tb (0.7666, 0.7666, 0.2334)
Nd (0.1244, 0.6252, 0.6252)
Nd (0.1497, 0.1497, 0.1497)
Nd (0.1497, 0.1497, 0.5510)
Nd (0.1497, 0.5510, 0.1497)
Nd (0.3748, 0.3748, 0.3748)
Nd (0.3748, 0.3748, 0.8756)
Nd (0.3748, 0.8756, 0.3748)
Nd (0.4490, 0.8503, 0.8503)
Nd (0.5510, 0.1497, 0.1497)
Nd (0.6252, 0.1244, 0.6252)
Nd (0.6252, 0.6252, 0.1244)
Nd (0.6252, 0.6252, 0.6252)
Nd (0.8503, 0.4490, 0.8503)
Nd (0.8503, 0.8503, 0.4490)
Nd (0.8503, 0.8503, 0.8503)
Nd (0.8756, 0.3748, 0.3748)
Dy (0.0000, 0.0000, 0.5000)
Dy (0.0000, 0.5000, 0.0000)
Dy (0.0000, 0.5000, 0.5000)
Dy (0.5000, 0.0000, 0.0000)
Dy (0.5000, 0.0000, 0.5000)
Dy (0.5000, 0.5000, 0.0000)
Dy (0.5000, 0.5000, 0.5000)

No. 2
DFT (PBE-GGA) results for an optimized crystal structure of BaP2Au.

Summary:
- Energy relative to the elements: -575.0 meV/atom
- ΔE to the lowest computed polymorph: 0 meV per atom
- Total magnetic moment: 0.000 μB per cell

Unit cell a=5.0505 b=4.0632 c=5.1265 alpha=90.00 beta=95.49 gamma=90.00
Element x y z (fractional)
Ba (0.0000, 0.0000, 0.0000)
P (0.4291, 0.5000, 0.7858)
P (0.5709, 0.5000, 0.2142)
Au (0.5000, 0.0000, 0.5000)

No. 3
DFT (PBE-GGA) results for an optimized crystal structure of Ho3Zn2Ag2.

Summary:
- Energy relative to the elements: -275.8 meV/atom
- Total magnetic moment: 0.000 μB per cell

Unit cell a=11.2031 b=11.2031 c=3.5604 alpha=90.00 beta=90.00 gamma=159.41
Element x y z (fractional)
Ho (0.0000, 0.0000, 0.0000)
Ho (0.1586, 0.8414, 0.0000)
Ho (0.8414, 0.1586, 0.0000)
Zn (0.2819, 0.7181, 0.5000)
Zn (0.7181, 0.2819, 0.5000)
Ag (0.4191, 0.5809, 0.5000)
Ag (0.5809, 0.4191, 0.5000)

No. 4
DFT (PBE-GGA) results for an optimized crystal structure of Ca2AlZnPt2.

Summary:
- Energy relative to the elements: -863.8 meV/atom
- Total magnetic moment: 0.000 μB per cell

Unit cell a=8.2164 b=8.2164 c=8.2164 alpha=137.37 beta=62.21 gamma=136.92
Element x y z (fractional)
Ca (0.1740, 0.2408, 0.4147)
Ca (0.3260, 0.7408, 0.0668)
Ca (0.6740, 0.2592, 0.9332)
Ca (0.8260, 0.7592, 0.5853)
Al (0.2500, 0.7500, 0.5000)
Al (0.7500, 0.2500, 0.5000)
Zn (0.2500, 0.2500, 0.0000)
Zn (0.7500, 0.7500, 0.0000)
Pt (0.1041, 0.7341, 0.8382)
Pt (0.3959, 0.2341, 0.6300)
Pt (0.6041, 0.7659, 0.3700)
Pt (0.8959, 0.2659, 0.1618)